Compound: Tl4V2O7
Source: the Alexandria database
Functional: GGA+U
Structure: optimized geometry

a = 6.0910 Å, b = 6.0910 Å, c = 7.9300 Å
α = 90.00°, β = 90.00°, γ = 120.00°
Element x y z (fractional)
O (0.8448, 0.6897, 0.2003)
Tl (0.6667, 0.3333, 0.4080)
Tl (0.6667, 0.3333, 0.9248)
O (0.1552, 0.8448, 0.7997)
O (0.6897, 0.8448, 0.7997)
O (0.3103, 0.1552, 0.2003)
V (0.0000, 0.0000, 0.7309)
Tl (0.3333, 0.6667, 0.0752)
O (0.8448, 0.1552, 0.2003)
O (0.0000, 0.0000, 0.5000)
V (0.0000, 0.0000, 0.2691)
Tl (0.3333, 0.6667, 0.5920)
O (0.1552, 0.3103, 0.7997)

Output
As for the total magnetization: 0.0 μB/cell. Its space group is No. 164. As for the total energy: -77.9 eV/f.u.